# 1
Here is a geometry-optimized PrNdGe4Pt2 structure from the Open Quantum Materials Database. Energies are from PBE-GGA.

Values from the calculation:
Its total energy is -47.204 eV per cell. The space group is Amm2.

Cell and atoms, written as CIF:
```
data_PrNdGe4Pt2
_chemical_formula_sum 'Pr1 Nd1 Ge4 Pt2'
_cell_length_a 4.454
_cell_length_b 8.920
_cell_length_c 8.920
_cell_angle_alpha 28.28
_cell_angle_beta 90.00
_cell_angle_gamma 90.00
_symmetry_space_group_name_H-M 'P 1'
_symmetry_Int_Tables_number 1
loop_
_symmetry_equiv_pos_as_xyz
'x,y,z'
loop_
_atom_site_label
_atom_site_type_symbol
_atom_site_fract_x
_atom_site_fract_y
_atom_site_fract_z
_atom_site_occupancy
Pr1 Pr 0.000 0.000 0.000 1
Nd1 Nd 0.500 0.785 0.785 1
Ge1 Ge 0.000 0.358 0.358 1
Ge2 Ge 0.000 0.642 0.642 1
Ge3 Ge 0.500 0.144 0.144 1
Ge4 Ge 0.500 0.428 0.428 1
Pt1 Pt 0.000 0.216 0.216 1
Pt2 Pt 0.500 0.570 0.570 1
```

=====

# 2
Here is a geometry-optimized NaScHgSe3 structure from the Open Quantum Materials Database. Energies are from PBE-GGA.

Values from the calculation:
The value obtained for the distance to the lowest polymorph of the same formula is 0.0 meV/atom. Its total energy is -97.932 eV per cell. The space group is Pnma.

Cell and atoms, written as CIF:
```
data_NaScHgSe3
_chemical_formula_sum 'Na4 Sc4 Hg4 Se12'
_cell_length_a 11.818
_cell_length_b 3.934
_cell_length_c 13.625
_cell_angle_alpha 90.00
_cell_angle_beta 90.00
_cell_angle_gamma 90.00
_symmetry_space_group_name_H-M 'P 1'
_symmetry_Int_Tables_number 1
loop_
_symmetry_equiv_pos_as_xyz
'x,y,z'
loop_
_atom_site_label
_atom_site_type_symbol
_atom_site_fract_x
_atom_site_fract_y
_atom_site_fract_z
_atom_site_occupancy
Na1 Na 0.158 0.250 0.004 1
Na2 Na 0.342 0.750 0.504 1
Na3 Na 0.658 0.250 0.496 1
Na4 Na 0.842 0.750 0.996 1
Sc1 Sc 0.029 0.250 0.722 1
Sc2 Sc 0.471 0.750 0.222 1
Sc3 Sc 0.529 0.250 0.778 1
Sc4 Sc 0.971 0.750 0.278 1
Hg1 Hg 0.233 0.250 0.273 1
Hg2 Hg 0.267 0.750 0.773 1
Hg3 Hg 0.733 0.250 0.227 1
Hg4 Hg 0.767 0.750 0.727 1
Se1 Se 0.055 0.750 0.864 1
Se2 Se 0.061 0.250 0.389 1
Se3 Se 0.226 0.250 0.638 1
Se4 Se 0.274 0.750 0.138 1
Se5 Se 0.439 0.750 0.889 1
Se6 Se 0.445 0.250 0.364 1
Se7 Se 0.555 0.750 0.636 1
Se8 Se 0.561 0.250 0.111 1
Se9 Se 0.726 0.250 0.862 1
Se10 Se 0.774 0.750 0.362 1
Se11 Se 0.939 0.750 0.611 1
Se12 Se 0.945 0.250 0.136 1
```

=====

# 3
Here is a geometry-optimized SmSiTc structure from the Open Quantum Materials Database. Energies are from PBE-GGA.

Values from the calculation:
The value obtained for the distance to the lowest polymorph of the same formula is 1029.1 meV/atom. Its total energy is -17.294 eV per cell. The space group is F-43m.

Cell and atoms, written as CIF:
```
data_SmSiTc
_chemical_formula_sum 'Sm1 Si1 Tc1'
_cell_length_a 4.650
_cell_length_b 4.650
_cell_length_c 4.650
_cell_angle_alpha 60.00
_cell_angle_beta 60.00
_cell_angle_gamma 60.00
_symmetry_space_group_name_H-M 'P 1'
_symmetry_Int_Tables_number 1
loop_
_symmetry_equiv_pos_as_xyz
'x,y,z'
loop_
_atom_site_label
_atom_site_type_symbol
_atom_site_fract_x
_atom_site_fract_y
_atom_site_fract_z
_atom_site_occupancy
Sm1 Sm 0.000 0.000 0.000 1
Si1 Si 0.750 0.750 0.750 1
Tc1 Tc 0.250 0.250 0.250 1
```

=====

# 4
Here is a geometry-optimized Sc4Ta2Cd3N3 structure from the Open Quantum Materials Database. Energies are from PBE-GGA.

Values from the calculation:
Its total energy is -175.467 eV per cell. The space group is C2/c.

Cell and atoms, written as CIF:
```
data_Sc4Ta2Cd3N3
_chemical_formula_sum 'Sc8 Ta4 Cd6 N6'
_cell_length_a 5.561
_cell_length_b 5.561
_cell_length_c 14.974
_cell_angle_alpha 100.88
_cell_angle_beta 100.88
_cell_angle_gamma 60.21
_symmetry_space_group_name_H-M 'P 1'
_symmetry_Int_Tables_number 1
loop_
_symmetry_equiv_pos_as_xyz
'x,y,z'
loop_
_atom_site_label
_atom_site_type_symbol
_atom_site_fract_x
_atom_site_fract_y
_atom_site_fract_z
_atom_site_occupancy
Sc1 Sc 0.033 0.190 0.085 1
Sc2 Sc 0.132 0.306 0.415 1
Sc3 Sc 0.190 0.033 0.585 1
Sc4 Sc 0.306 0.132 0.915 1
Sc5 Sc 0.694 0.868 0.085 1
Sc6 Sc 0.810 0.967 0.415 1
Sc7 Sc 0.868 0.694 0.585 1
Sc8 Sc 0.967 0.810 0.915 1
Ta1 Ta 0.355 0.525 0.072 1
Ta2 Ta 0.475 0.645 0.428 1
Ta3 Ta 0.525 0.355 0.572 1
Ta4 Ta 0.645 0.475 0.928 1
Cd1 Cd 0.110 0.890 0.250 1
Cd2 Cd 0.276 0.417 0.751 1
Cd3 Cd 0.417 0.276 0.251 1
Cd4 Cd 0.583 0.724 0.749 1
Cd5 Cd 0.724 0.583 0.249 1
Cd6 Cd 0.890 0.110 0.750 1
N1 N 0.000 0.500 0.000 1
N2 N 0.167 0.667 0.500 1
N3 N 0.333 0.833 0.000 1
N4 N 0.500 0.000 0.500 1
N5 N 0.667 0.167 0.000 1
N6 N 0.833 0.333 0.500 1
```